A crystal of TlFeSi2 relaxed with PBEsol. Source: the Alexandria database, functional SCAN.

Its formation energy without anion corrections is 0.826 eV per atom. The density of states at the Fermi level is 0.555 states/eV per atom.

It has space group P4/mmm (No. 123), with a = 4.182 Å, b = 4.182 Å, c = 3.746 Å, α = 90.00°, β = 90.00° and γ = 90.00°. The distinct sites, in fractional coordinates, are Tl at (0.000, 0.000, 0.000), Fe at (0.500, 0.500, 0.000) and Si at (0.000, 0.500, 0.500).

A crystal of Na3HAu relaxed with PBEsol. Source: the Alexandria database, functional SCAN.

The density of states at the Fermi level is 0.455 states/eV per atom. The value obtained for the calculated total energy is -0.63523 Ha/atom.

It has space group Pm-3m (No. 221), with a = 4.568 Å, b = 4.568 Å, c = 4.568 Å, α = 90.00°, β = 90.00° and γ = 90.00°. The distinct sites, in fractional coordinates, are Na at (0.000, 0.000, 0.500), H at (0.000, 0.000, 0.000) and Au at (0.500, 0.500, 0.500).

A crystal of AgHBr2 relaxed with PBEsol. Source: the Alexandria database, functional SCAN.

The density of states at the Fermi level is 1.377 states/eV per atom. The value obtained for the calculated total energy is -0.65710 Ha/atom.

It has space group Fm-3m (No. 225), with a = 6.698 Å, b = 6.698 Å, c = 6.698 Å, α = 90.00°, β = 90.00° and γ = 90.00°. The distinct sites, in fractional coordinates, are Ag at (0.000, 0.000, 0.000), H at (0.000, 0.000, 0.500) and Br at (0.250, 0.250, 0.250).

A crystal of MnFe3 relaxed with PBEsol. Source: the Alexandria database, functional SCAN.

As for the energy of formation from the pure elements: 0.04 eV/atom. The density of states at the Fermi level is 0.612 states/eV per atom.

It has space group P4/mmm (No. 123), with a = 2.764 Å, b = 2.764 Å, c = 5.607 Å, α = 90.00°, β = 90.00° and γ = 90.00°. The distinct sites, in fractional coordinates, are Mn at (0.000, 0.000, 0.000), Fe at (0.000, 0.000, 0.500) and Fe at (0.500, 0.500, 0.248).

A crystal of Li2InAs relaxed with PBEsol. Source: the Alexandria database, functional SCAN.

As for the energy of formation from the pure elements: -0.35 eV/atom. The density of states at the Fermi level is 0.286 states/eV per atom.

It has space group P4mm (No. 99), with a = 3.639 Å, b = 3.639 Å, c = 5.523 Å, α = 90.00°, β = 90.00° and γ = 90.00°. The distinct sites, in fractional coordinates, are Li at (0.000, 0.000, 0.000), Li at (0.500, 0.500, 0.264), In at (0.500, 0.500, 0.747) and As at (0.000, 0.000, 0.492).

A crystal of AlRhS2N relaxed with PBEsol. Source: the Alexandria database, functional SCAN.

Its formation energy without anion corrections is 0.365 eV per atom. The density of states at the Fermi level is 0.599 states/eV per atom.

It has space group P4/mmm (No. 123), with a = 4.766 Å, b = 4.766 Å, c = 3.581 Å, α = 90.00°, β = 90.00° and γ = 90.00°. The distinct sites, in fractional coordinates, are Al at (0.000, 0.000, 0.000), Rh at (0.500, 0.500, 0.500), S at (0.000, 0.500, 0.500) and N at (0.500, 0.500, 0.000).